# 1
A geometry-optimized TaMn2Pb structure, computed with PBE.

The space group is R-3m (No. 166, hexagonal axes) and the conventional cell measures 3.1472, 3.1472 and 26.1615 Å, with angles of 90.00, 90.00 and 120.00 degrees. The distinct sites, in fractional coordinates, are Ta at (0.0000, 0.0000, 0.0000), Mn at (0.0000, 0.0000, 0.2602) and Pb at (0.0000, 0.0000, 0.5000).

The calculation puts the total magnetization at 16.08 μB/cell. As for the density of states at the Fermi level: 0.566 states/eV per atom. Its energy relative to the elements is 0.445 eV per atom.

# 2
A geometry-optimized TiH2W2 structure, computed with PBE.

The space group is P4/mbm (No. 127) and the conventional cell measures 5.2771, 5.2771 and 4.2025 Å, with angles of 90.00, 90.00 and 90.00 degrees. The distinct sites, in fractional coordinates, are Ti at (0.0000, 0.0000, 0.0000), H at (0.1822, 0.3178, 0.0000) and W at (0.2002, 0.2998, 0.5000).

The calculation puts the total magnetization at 0.00 μB/cell. The energy relative to the lowest polymorph listed for this composition is 0 meV per atom. As for the density of states at the Fermi level: 0.650 states/eV per atom.